A plane-wave DFT calculation with GGA-PBE was carried out for a relaxed Be2AgSe crystal.

```
Be2AgSe
1.0
3.4720 0.0000 0.0000
0.0000 3.4413 0.0000
-1.7172 0.0000 5.5366
Be Ag Se
2 1 1
Direct
0.0000 0.0000 0.0000
0.4953 0.5000 0.9914
0.8499 0.5000 0.6983
0.6269 0.0000 0.2571
```

Values from the calculation:
The uncorrected formation energy comes out at 0.001 eV/atom. For the electronic total energy, the calculation gives -0.1266 Ha/atom. The volume comes out at 66.2 Å³ per cell.